{
  "formula": "PrBeF",
  "functional": "PBE",
  "state": "relaxed",
  "sg": "Amm2",
  "cell": [[11.879, 0.000, 0.000], [0.000, 1.422, 3.541], [0.000, -1.422, 3.541]],
  "species": ["Pr", "Pr", "Be", "Be", "F", "F"],
  "fractional_positions": [[0.181, 0.000, 0.000], [0.819, 0.000, 0.000], [0.000, 0.296, 0.296], [0.500, 0.490, 0.490], [0.407, 0.990, 0.990], [0.593, 0.990, 0.990]]
}

***

{
  "formula": "BePtF2",
  "functional": "PBE",
  "state": "relaxed",
  "de_polymorph_mev_per_atom": 0,
  "sg": "P1",
  "cell": [[2.667, 0.000, 0.000], [0.000, 4.373, 0.000], [0.277, 0.431, 10.426]],
  "species": ["Be", "Be", "Pt", "Pt", "F", "F", "F", "F"],
  "fractional_positions": [[0.000, 0.000, 0.000], [0.017, 0.517, 0.827], [0.356, 0.459, 0.386], [0.850, 0.954, 0.439], [0.003, 0.349, 0.964], [0.013, 0.859, 0.863], [0.492, 0.915, 0.071], [0.524, 0.446, 0.756]]
}

***

{
  "formula": "BePtF3",
  "functional": "PBE",
  "state": "relaxed",
  "de_polymorph_mev_per_atom": 974,
  "sg": "Pm-3m",
  "cell": [[4.284, 0.000, 0.000], [0.000, 4.284, 0.000], [0.000, 0.000, 4.284]],
  "species": ["Be", "Pt", "F", "F", "F"],
  "fractional_positions": [[0.000, 0.000, 0.000], [0.500, 0.500, 0.500], [0.000, 0.500, 0.500], [0.500, 0.000, 0.500], [0.500, 0.500, 0.000]]
}

***

{
  "formula": "BePtF2",
  "functional": "PBE",
  "state": "relaxed",
  "de_polymorph_mev_per_atom": 822,
  "sg": "R-3m",
  "cell": [[1.372, 0.792, 10.237], [-1.372, 0.792, 10.237], [0.000, -1.584, 10.237]],
  "species": ["Be", "Pt", "F", "F"],
  "fractional_positions": [[0.000, 0.000, 0.000], [0.500, 0.500, 0.500], [0.044, 0.044, 0.044], [0.956, 0.956, 0.956]]
}

***

| no. | formation energy without anion corrections (meV per atom) |
| --- | --- |
| 1 | -869.8 |
| 2 | -2211.9 |
| 3 | -293.2 |
| 4 | -1390.0 |